No. 1
Here is a relaxed Mg2ZnBi2 crystal from Alexandria via LeMat-Bulk. Energies are from PBE.

abc: 8.7810 8.7810 3.4987
angles: 90.00 90.00 90.00
Closest atoms and distances in Å follow each position.
Space group P4/mbm (No. 127)
Inequivalent atoms, fractional coordinates:
Mg: 0.1336 0.3664 0.0000 x4  6 Bi 3.04-3.17, 1 Mg 3.32
Zn: 0.0000 0.0000 0.5000 x2  4 Bi 3.28, 2 Zn 3.50
Bi: 0.1658 0.6658 0.5000 x4  6 Mg 3.04-3.17, 2 Zn 3.28

Magnetic moment ... 0.000 μB/cell
ΔE_f ... 5.5 kJ per mole of atoms
Crystal system ... tetragonal
Electronic total energy ... -23.88 eV per cell

No. 2
Here is a relaxed MgZn4Bi crystal from Alexandria via LeMat-Bulk. Energies are from PBE.

abc: 7.7173 7.7173 7.7173
angles: 90.00 90.00 90.00
Closest atoms and distances in Å follow each position.
Space group F-43m (No. 216)
Inequivalent atoms, fractional coordinates:
Mg: 0.0000 0.0000 0.0000 x4  12 Zn 3.20, 4 Bi 3.34
Zn: 0.1259 0.1259 0.6259 x16  6 Zn 2.71-2.75
Bi: 0.2500 0.2500 0.2500 x4  12 Zn 3.20, 4 Mg 3.34

Magnetic moment ... 0.000 μB/cell
ΔE_f ... 3.2 kJ per mole of atoms
Crystal system ... cubic
Electronic total energy ... -41.49 eV per cell

No. 3
Here is a relaxed MgZn3Bi crystal from Alexandria via LeMat-Bulk. Energies are from PBE.

abc: 5.0265 5.0265 5.0265
angles: 90.00 90.00 90.00
Closest atoms and distances in Å follow each position.
Space group Pm-3m (No. 221)
Inequivalent atoms, fractional coordinates:
Mg: 0.0000 0.0000 0.0000 x1  6 Zn 2.51
Zn: 0.0000 0.0000 0.5000 x3  2 Mg 2.51
Bi: 0.5000 0.5000 0.5000 x1  12 Zn 3.55

Magnetic moment ... 0.000 μB/cell
ΔE_f ... 54.9 kJ per mole of atoms
Crystal system ... cubic
Electronic total energy ... -6.45 eV per cell

No. 4
Here is a relaxed Mg2ZnBi2 crystal from Alexandria via LeMat-Bulk. Energies are from PBE.

abc: 5.2878 5.2878 11.3067
angles: 90.00 90.00 90.00
Closest atoms and distances in Å follow each position.
Space group I4/mmm (No. 139)
Inequivalent atoms, fractional coordinates:
Mg: 0.0000 0.5000 0.2500 x4  4 Bi 2.97
Zn: 0.0000 0.0000 0.0000 x2  8 Mg 3.87, 10 Bi 4.02-4.17
Bi: 0.0000 0.0000 0.3688 x4  4 Mg 2.97, 1 Bi 2.97

Magnetic moment ... 0.000 μB/cell
ΔE_f ... 9.0 kJ per mole of atoms
Crystal system ... tetragonal
Electronic total energy ... -23.52 eV per cell

No. 5
Here is a relaxed MgZnBi2 crystal from Alexandria via LeMat-Bulk. Energies are from PBE.

abc: 7.4336 7.4336 7.4336
angles: 90.00 90.00 90.00
Closest atoms and distances in Å follow each position.
Space group Fm-3m (No. 225)
Inequivalent atoms, fractional coordinates:
Mg: 0.0000 0.0000 0.0000 x4  8 Bi 3.22
Zn: 0.0000 0.0000 0.5000 x4  8 Bi 3.22
Bi: 0.2500 0.2500 0.2500 x8  4 Mg 3.22, 4 Zn 3.22

Magnetic moment ... 0.000 μB/cell
ΔE_f ... 9.4 kJ per mole of atoms
Crystal system ... cubic
Electronic total energy ... -40.96 eV per cell

No. 6
Here is a relaxed Mg6ZnBi crystal from Alexandria via LeMat-Bulk. Energies are from PBE.

abc: 5.0316 6.4524 11.3351
angles: 90.00 90.00 90.00
Closest atoms and distances in Å follow each position.
Space group Amm2 (No. 38)
Inequivalent atoms, fractional coordinates:
Mg: 0.0000 0.0000 0.0000 x2  10 Mg 3.12-3.30, 2 Bi 3.23
Mg: 0.0000 0.2429 0.7434 x4  2 Zn 3.00, 8 Mg 3.13-3.32, 2 Bi 3.19-3.33
Mg: 0.5000 0.0000 0.1657 x2  10 Mg 3.14-3.26, 2 Zn 3.26
Mg: 0.5000 0.2438 0.9140 x4  1 Zn 2.85, 5 Mg 3.12-3.17, 2 Bi 3.16
Zn: 0.5000 0.0000 0.7046 x2  6 Mg 2.85-3.00
Bi: 0.0000 0.0000 0.4979 x2  10 Mg 3.16-3.33, 2 Zn 3.44

Magnetic moment ... 0.000 μB/cell
ΔE_f ... -2.4 kJ per mole of atoms
Crystal system ... orthorhombic
Electronic total energy ... -29.84 eV per cell

No. 7
Here is a relaxed MgZnBi2 crystal from Alexandria via LeMat-Bulk. Energies are from PBE.

abc: 6.9652 6.9652 11.1568
angles: 90.00 90.00 90.00
Closest atoms and distances in Å follow each position.
Space group I-42d (No. 122)
Inequivalent atoms, fractional coordinates:
Mg: 0.0000 0.0000 0.0000 x4  4 Bi 2.94
Zn: 0.0000 0.0000 0.5000 x4  4 Bi 2.73
Bi: 0.2250 0.2500 0.6250 x8  2 Zn 2.73, 2 Mg 2.94

Magnetic moment ... 0.000 μB/cell
ΔE_f ... 19.2 kJ per mole of atoms
Crystal system ... tetragonal
Electronic total energy ... -39.34 eV per cell

No. 8
Here is a relaxed MgZnBi2 crystal from Alexandria via LeMat-Bulk. Energies are from PBE.

abc: 3.4572 3.4572 8.6873
angles: 90.00 90.00 90.00
Closest atoms and distances in Å follow each position.
Space group P4/mmm (No. 123)
Inequivalent atoms, fractional coordinates:
Mg: 0.0000 0.0000 0.0000 x1  8 Bi 3.29, 4 Mg 3.46
Zn: 0.0000 0.0000 0.5000 x1  8 Bi 3.25, 4 Zn 3.46
Bi: 0.5000 0.5000 0.2539 x2  4 Zn 3.25, 4 Mg 3.29, 4 Bi 3.46

Magnetic moment ... 0.000 μB/cell
ΔE_f ... 5.2 kJ per mole of atoms
Crystal system ... tetragonal
Electronic total energy ... -10.42 eV per cell

> Which of these has the highest electronic total energy?

MgZn3Bi

> Which of these has the lowest ΔE_f?

Mg6ZnBi

> What is the formula in the eighth record?

MgZnBi2